! Hf4CdPd (PBE, relaxed); values from VASP
! Symmetry: P4/mmm (123)
! Magnetic moment in μB/atom: 0.0000
! Formation enthalpy at 0 K in eV/atom: -0.308
&SYSTEM
  ibrav = 0, nat = 6, ntyp = 3
/
ATOMIC_SPECIES
Hf 178.49 Hf.upf
Cd 112.41 Cd.upf
Pd 106.42 Pd.upf
ATOMIC_POSITIONS crystal
Hf 0.0000 0.0000 0.1495
Hf 0.0000 0.0000 0.8505
Hf 0.5000 0.5000 0.3211
Hf 0.5000 0.5000 0.6789
Cd 0.0000 0.0000 0.5000
Pd 0.5000 0.5000 0.0000
CELL_PARAMETERS angstrom
3.2303 0.0000 0.0000
0.0000 3.2303 0.0000
0.0000 0.0000 11.9549

! HfCd4Pd2 (PBE, relaxed); values from VASP
! Symmetry: P2/m (10)
! Magnetic moment in μB/atom: 0.0002
! Formation enthalpy at 0 K in eV/atom: -0.222
&SYSTEM
  ibrav = 0, nat = 7, ntyp = 3
/
ATOMIC_SPECIES
Hf 178.49 Hf.upf
Cd 112.41 Cd.upf
Pd 106.42 Pd.upf
ATOMIC_POSITIONS crystal
Hf 0.0000 0.0000 0.0000
Cd 0.1476 0.5000 0.2913
Cd 0.2982 0.0000 0.5984
Cd 0.7018 0.0000 0.4016
Cd 0.8524 0.5000 0.7087
Pd 0.4297 0.5000 0.8652
Pd 0.5703 0.5000 0.1348
CELL_PARAMETERS angstrom
4.5624 0.0000 0.0000
0.0000 3.0311 0.0000
-2.2636 0.0000 9.8398

! HfCd2PdPt (PBE, relaxed); values from VASP
! Symmetry: P4/mmm (123)
! Magnetic moment in μB/atom: 0.0000
! Formation enthalpy at 0 K in eV/atom: 0.286
&SYSTEM
  ibrav = 0, nat = 5, ntyp = 4
/
ATOMIC_SPECIES
Hf 178.49 Hf.upf
Cd 112.41 Cd.upf
Pd 106.42 Pd.upf
Pt 195.08 Pt.upf
ATOMIC_POSITIONS crystal
Hf 0.0000 0.0000 0.0000
Cd 0.0000 0.5000 0.5000
Cd 0.5000 0.0000 0.5000
Pd 0.5000 0.5000 0.0000
Pt 0.0000 0.0000 0.5000
CELL_PARAMETERS angstrom
5.0828 0.0000 0.0000
0.0000 5.0828 0.0000
0.0000 0.0000 4.9589

! Hf2CdPdPt (PBE, relaxed); values from VASP
! Symmetry: P4/mmm (123)
! Magnetic moment in μB/atom: 0.0000
! Formation enthalpy at 0 K in eV/atom: 0.308
&SYSTEM
  ibrav = 0, nat = 5, ntyp = 4
/
ATOMIC_SPECIES
Hf 178.49 Hf.upf
Cd 112.41 Cd.upf
Pd 106.42 Pd.upf
Pt 195.08 Pt.upf
ATOMIC_POSITIONS crystal
Hf 0.0000 0.5000 0.0000
Hf 0.5000 0.0000 0.0000
Cd 0.0000 0.0000 0.5000
Pd 0.5000 0.5000 0.5000
Pt 0.0000 0.0000 0.0000
CELL_PARAMETERS angstrom
4.9985 0.0000 0.0000
0.0000 4.9985 0.0000
0.0000 0.0000 5.0400

! HfCdPdS2 (PBE, relaxed); values from VASP
! Symmetry: P4/mmm (123)
! Magnetic moment in μB/atom: 0.0000
! Energy relative to the elements, uncorrected in eV/atom: 0.01
&SYSTEM
  ibrav = 0, nat = 5, ntyp = 4
/
ATOMIC_SPECIES
Hf 178.49 Hf.upf
Cd 112.41 Cd.upf
Pd 106.42 Pd.upf
S 32.06 S.upf
ATOMIC_POSITIONS crystal
Hf 0.0000 0.0000 0.0000
Cd 0.0000 0.0000 0.5000
Pd 0.5000 0.5000 0.5000
S 0.0000 0.5000 0.0000
S 0.5000 0.0000 0.0000
CELL_PARAMETERS angstrom
4.8129 0.0000 0.0000
0.0000 4.8129 0.0000
0.0000 0.0000 5.7797

! Hf2CdSiPd (PBE, relaxed); values from VASP
! Symmetry: P4/mmm (123)
! Magnetic moment in μB/atom: 0.0000
! Energy relative to the elements, uncorrected in eV/atom: 0.41
&SYSTEM
  ibrav = 0, nat = 5, ntyp = 4
/
ATOMIC_SPECIES
Hf 178.49 Hf.upf
Cd 112.41 Cd.upf
Si 28.09 Si.upf
Pd 106.42 Pd.upf
ATOMIC_POSITIONS crystal
Hf 0.0000 0.5000 0.0000
Hf 0.5000 0.0000 0.0000
Cd 0.0000 0.0000 0.5000
Si 0.0000 0.0000 0.0000
Pd 0.5000 0.5000 0.5000
CELL_PARAMETERS angstrom
4.9024 0.0000 0.0000
0.0000 4.9024 0.0000
0.0000 0.0000 4.6665

! HfZnCdPd2 (PBE, relaxed); values from VASP
! Symmetry: P4/mmm (123)
! Magnetic moment in μB/atom: 0.0000
! Formation enthalpy at 0 K in eV/atom: 0.786
&SYSTEM
  ibrav = 0, nat = 5, ntyp = 4
/
ATOMIC_SPECIES
Hf 178.49 Hf.upf
Zn 65.41 Zn.upf
Cd 112.41 Cd.upf
Pd 106.42 Pd.upf
ATOMIC_POSITIONS crystal
Hf 0.0000 0.0000 0.0000
Zn 0.5000 0.5000 0.5000
Cd 0.0000 0.0000 0.5000
Pd 0.0000 0.5000 0.0000
Pd 0.5000 0.0000 0.0000
CELL_PARAMETERS angstrom
4.9086 0.0000 0.0000
0.0000 4.9086 0.0000
0.0000 0.0000 5.6158

! PmHfCd (PBE, relaxed); values from VASP
! Symmetry: I4mm (107)
! Magnetic moment in μB/atom: 0.0000
! Formation enthalpy at 0 K in eV/atom: -0.030
&SYSTEM
  ibrav = 0, nat = 6, ntyp = 3
/
ATOMIC_SPECIES
Pm 145.00 Pm.upf
Hf 178.49 Hf.upf
Cd 112.41 Cd.upf
ATOMIC_POSITIONS crystal
Pm 0.0000 0.0000 0.0000
Pm 0.5000 0.5000 0.5000
Hf 0.0000 0.0000 0.3264
Hf 0.5000 0.5000 0.8264
Cd 0.0000 0.0000 0.6817
Cd 0.5000 0.5000 0.1817
CELL_PARAMETERS angstrom
3.3981 0.0000 0.0000
0.0000 3.3981 0.0000
0.0000 0.0000 13.2891

! Pm2HfCd (PBE, relaxed); values from VASP
! Symmetry: R-3m (166)
! Magnetic moment in μB/atom: 0.0000
! Formation enthalpy at 0 K in eV/atom: 0.326
&SYSTEM
  ibrav = 0, nat = 12, ntyp = 3
/
ATOMIC_SPECIES
Pm 145.00 Pm.upf
Hf 178.49 Hf.upf
Cd 112.41 Cd.upf
ATOMIC_POSITIONS crystal
Pm 0.0000 0.0000 0.0882
Pm 0.0000 0.0000 0.9118
Pm 0.3333 0.6667 0.5785
Pm 0.3333 0.6667 0.7548
Pm 0.6667 0.3333 0.2452
Pm 0.6667 0.3333 0.4215
Hf 0.0000 0.0000 0.0000
Hf 0.3333 0.6667 0.6667
Hf 0.6667 0.3333 0.3333
Cd 0.0000 0.0000 0.5000
Cd 0.3333 0.6667 0.1667
Cd 0.6667 0.3333 0.8333
CELL_PARAMETERS angstrom
3.2618 0.0000 0.0000
-1.6309 2.8248 0.0000
0.0000 0.0000 36.1484

! PmHfCd (PBE, relaxed); values from VASP
! Symmetry: Amm2 (38)
! Magnetic moment in μB/atom: 0.0000
! Formation enthalpy at 0 K in eV/atom: 0.099
&SYSTEM
  ibrav = 0, nat = 12, ntyp = 3
/
ATOMIC_SPECIES
Pm 145.00 Pm.upf
Hf 178.49 Hf.upf
Cd 112.41 Cd.upf
ATOMIC_POSITIONS crystal
Pm 0.1795 0.0000 0.0000
Pm 0.1795 0.5000 0.5000
Pm 0.8205 0.0000 0.0000
Pm 0.8205 0.5000 0.5000
Hf 0.3431 0.0000 0.6666
Hf 0.3431 0.5000 0.1666
Hf 0.6569 0.0000 0.6666
Hf 0.6569 0.5000 0.1666
Cd 0.0000 0.0000 0.6678
Cd 0.0000 0.5000 0.1678
Cd 0.5000 0.0000 0.9994
Cd 0.5000 0.5000 0.4994
CELL_PARAMETERS angstrom
16.3045 0.0000 0.0000
0.0000 3.3068 0.0000
0.0000 0.0000 5.7300

! Pm2HfCd (PBE, relaxed); values from VASP
! Symmetry: P4/mmm (123)
! Magnetic moment in μB/atom: 0.0001
! Formation enthalpy at 0 K in eV/atom: 0.043
&SYSTEM
  ibrav = 0, nat = 4, ntyp = 3
/
ATOMIC_SPECIES
Pm 145.00 Pm.upf
Hf 178.49 Hf.upf
Cd 112.41 Cd.upf
ATOMIC_POSITIONS crystal
Pm 0.0000 0.5000 0.0000
Pm 0.5000 0.0000 0.0000
Hf 0.0000 0.0000 0.5000
Cd 0.5000 0.5000 0.5000
CELL_PARAMETERS angstrom
5.6212 0.0000 0.0000
0.0000 5.6212 0.0000
0.0000 0.0000 3.4804

! Pm2HfCd (PBE, relaxed); values from VASP
! Symmetry: P4/mmm (123)
! Magnetic moment in μB/atom: 0.0000
! Formation enthalpy at 0 K in eV/atom: -0.045
&SYSTEM
  ibrav = 0, nat = 4, ntyp = 3
/
ATOMIC_SPECIES
Pm 145.00 Pm.upf
Hf 178.49 Hf.upf
Cd 112.41 Cd.upf
ATOMIC_POSITIONS crystal
Pm 0.0000 0.0000 0.2492
Pm 0.0000 0.0000 0.7508
Hf 0.5000 0.5000 0.5000
Cd 0.5000 0.5000 0.0000
CELL_PARAMETERS angstrom
3.4486 0.0000 0.0000
0.0000 3.4486 0.0000
0.0000 0.0000 9.3243

! PmHfCd4 (PBE, relaxed); values from VASP
! Symmetry: F-43m (216)
! Magnetic moment in μB/atom: 0.2993
! Formation enthalpy at 0 K in eV/atom: -0.042
&SYSTEM
  ibrav = 0, nat = 6, ntyp = 3
/
ATOMIC_SPECIES
Pm 145.00 Pm.upf
Hf 178.49 Hf.upf
Cd 112.41 Cd.upf
ATOMIC_POSITIONS crystal
Pm 0.0000 0.0000 0.0000
Hf 0.7500 0.7500 0.7500
Cd 0.3754 0.3754 0.3754
Cd 0.3754 0.3754 0.8738
Cd 0.3754 0.8738 0.3754
Cd 0.8738 0.3754 0.3754
CELL_PARAMETERS angstrom
0.0000 4.1173 4.1173
4.1173 0.0000 4.1173
4.1173 4.1173 0.0000

! PrHfCd2 (PBE, relaxed); values from VASP
! Symmetry: P4/mmm (123)
! Magnetic moment in μB/atom: 0.0610
! Formation enthalpy at 0 K in eV/atom: -0.075
&SYSTEM
  ibrav = 0, nat = 4, ntyp = 3
/
ATOMIC_SPECIES
Pr 140.91 Pr.upf
Hf 178.49 Hf.upf
Cd 112.41 Cd.upf
ATOMIC_POSITIONS crystal
Pr 0.0000 0.0000 0.0000
Hf 0.0000 0.0000 0.5000
Cd 0.5000 0.5000 0.2842
Cd 0.5000 0.5000 0.7158
CELL_PARAMETERS angstrom
3.5480 0.0000 0.0000
0.0000 3.5480 0.0000
0.0000 0.0000 7.8826

! PrHfCd4 (PBE, relaxed); values from VASP
! Symmetry: F-43m (216)
! Magnetic moment in μB/atom: 0.2836
! Formation enthalpy at 0 K in eV/atom: -0.038
&SYSTEM
  ibrav = 0, nat = 6, ntyp = 3
/
ATOMIC_SPECIES
Pr 140.91 Pr.upf
Hf 178.49 Hf.upf
Cd 112.41 Cd.upf
ATOMIC_POSITIONS crystal
Pr 0.0000 0.0000 0.0000
Hf 0.2500 0.2500 0.2500
Cd 0.1265 0.6245 0.6245
Cd 0.6245 0.1265 0.6245
Cd 0.6245 0.6245 0.1265
Cd 0.6245 0.6245 0.6245
CELL_PARAMETERS angstrom
0.0000 4.1375 4.1375
4.1375 0.0000 4.1375
4.1375 4.1375 0.0000

! Pr2HfCd (PBE, relaxed); values from VASP
! Symmetry: R-3m (166)
! Magnetic moment in μB/atom: 0.0001
! Formation enthalpy at 0 K in eV/atom: 0.338
&SYSTEM
  ibrav = 0, nat = 12, ntyp = 3
/
ATOMIC_SPECIES
Pr 140.91 Pr.upf
Hf 178.49 Hf.upf
Cd 112.41 Cd.upf
ATOMIC_POSITIONS crystal
Pr 0.0000 0.0000 0.0874
Pr 0.0000 0.0000 0.9126
Pr 0.3333 0.6667 0.5792
Pr 0.3333 0.6667 0.7541
Pr 0.6667 0.3333 0.2459
Pr 0.6667 0.3333 0.4208
Hf 0.0000 0.0000 0.0000
Hf 0.3333 0.6667 0.6667
Hf 0.6667 0.3333 0.3333
Cd 0.0000 0.0000 0.5000
Cd 0.3333 0.6667 0.1667
Cd 0.6667 0.3333 0.8333
CELL_PARAMETERS angstrom
3.2986 0.0000 0.0000
-1.6493 2.8567 0.0000
0.0000 0.0000 36.4022

! Pr2HfCd (PBE, relaxed); values from VASP
! Symmetry: P4/mmm (123)
! Magnetic moment in μB/atom: 0.0000
! Formation enthalpy at 0 K in eV/atom: -0.014
&SYSTEM
  ibrav = 0, nat = 4, ntyp = 3
/
ATOMIC_SPECIES
Pr 140.91 Pr.upf
Hf 178.49 Hf.upf
Cd 112.41 Cd.upf
ATOMIC_POSITIONS crystal
Pr 0.0000 0.0000 0.2494
Pr 0.0000 0.0000 0.7506
Hf 0.5000 0.5000 0.5000
Cd 0.5000 0.5000 0.0000
CELL_PARAMETERS angstrom
3.4867 0.0000 0.0000
0.0000 3.4867 0.0000
0.0000 0.0000 9.4424

! Hf3CdPt (PBE, relaxed); values from VASP
! Symmetry: Pm-3m (221)
! Magnetic moment in μB/atom: 0.0000
! Formation enthalpy at 0 K in eV/atom: 0.217
&SYSTEM
  ibrav = 0, nat = 5, ntyp = 3
/
ATOMIC_SPECIES
Hf 178.49 Hf.upf
Cd 112.41 Cd.upf
Pt 195.08 Pt.upf
ATOMIC_POSITIONS crystal
Hf 0.0000 0.0000 0.5000
Hf 0.0000 0.5000 0.0000
Hf 0.5000 0.0000 0.0000
Cd 0.5000 0.5000 0.5000
Pt 0.0000 0.0000 0.0000
CELL_PARAMETERS angstrom
5.0639 0.0000 0.0000
0.0000 5.0639 0.0000
0.0000 0.0000 5.0639

! Hf2CdPt (PBE, relaxed); values from VASP
! Symmetry: I-42d (122)
! Magnetic moment in μB/atom: 0.0000
! Formation enthalpy at 0 K in eV/atom: -0.131
&SYSTEM
  ibrav = 0, nat = 16, ntyp = 3
/
ATOMIC_SPECIES
Hf 178.49 Hf.upf
Cd 112.41 Cd.upf
Pt 195.08 Pt.upf
ATOMIC_POSITIONS crystal
Hf 0.2045 0.7500 0.1250
Hf 0.2500 0.2045 0.8750
Hf 0.2500 0.2955 0.3750
Hf 0.2955 0.7500 0.6250
Hf 0.7045 0.2500 0.6250
Hf 0.7500 0.7045 0.3750
Hf 0.7500 0.7955 0.8750
Hf 0.7955 0.2500 0.1250
Cd 0.0000 0.0000 0.5000
Cd 0.0000 0.5000 0.7500
Cd 0.5000 0.0000 0.2500
Cd 0.5000 0.5000 0.0000
Pt 0.0000 0.0000 0.0000
Pt 0.0000 0.5000 0.2500
Pt 0.5000 0.0000 0.7500
Pt 0.5000 0.5000 0.5000
CELL_PARAMETERS angstrom
7.7370 0.0000 0.0000
0.0000 7.7370 0.0000
0.0000 0.0000 5.8939

! Hf2CdPt (PBE, relaxed); values from VASP
! Symmetry: P4/mmm (123)
! Magnetic moment in μB/atom: 0.0000
! Formation enthalpy at 0 K in eV/atom: -0.464
&SYSTEM
  ibrav = 0, nat = 4, ntyp = 3
/
ATOMIC_SPECIES
Hf 178.49 Hf.upf
Cd 112.41 Cd.upf
Pt 195.08 Pt.upf
ATOMIC_POSITIONS crystal
Hf 0.0000 0.0000 0.2267
Hf 0.0000 0.0000 0.7733
Cd 0.5000 0.5000 0.5000
Pt 0.5000 0.5000 0.0000
CELL_PARAMETERS angstrom
3.3939 0.0000 0.0000
0.0000 3.3939 0.0000
0.0000 0.0000 6.8908

Number 1: total DFT energy (no corrections) -47.8 eV per cell. Number 2: total DFT energy (no corrections) -25.6 eV per cell. Number 3: total DFT energy (no corrections) -21.6 eV per cell. Number 4: total DFT energy (no corrections) -30.5 eV per cell. Number 5: total DFT energy (no corrections) -24.3 eV per cell. Number 6: total DFT energy (no corrections) -29.4 eV per cell. Number 7: total DFT energy (no corrections) -18.6 eV per cell. Number 8: total DFT energy (no corrections) -31.4 eV per cell. Number 9: total DFT energy (no corrections) -57.2 eV per cell. Number 10: total DFT energy (no corrections) -61.3 eV per cell. Number 11: total DFT energy (no corrections) -20.2 eV per cell. Number 12: total DFT energy (no corrections) -20.5 eV per cell. Number 13: total DFT energy (no corrections) -18.6 eV per cell. Number 14: total DFT energy (no corrections) -16.9 eV per cell. Number 15: total DFT energy (no corrections) -18.6 eV per cell. Number 16: total DFT energy (no corrections) -57.2 eV per cell. Number 17: total DFT energy (no corrections) -20.5 eV per cell. Number 18: total DFT energy (no corrections) -35.7 eV per cell. Number 19: total DFT energy (no corrections) -109.5 eV per cell. Number 20: total DFT energy (no corrections) -28.7 eV per cell.